Record 1
{"formula": "Zr2Ta2O5", "functional": "PBE", "state": "optimized geometry", "magnetic_moment_mub_per_fu": 0.009, "e_above_lowest_polymorph_ev_per_atom": 0.000, "sg": "P4/mmm", "lattice": [[3.990, 0.000, 0.000], [0.000, 3.990, 0.000], [0.000, 0.000, 6.838]], "species": ["Zr", "Zr", "Ta", "Ta", "O", "O", "O", "O", "O"], "fractional_positions": [[0.000, 0.000, 0.000], [0.000, 0.000, 0.500], [0.500, 0.500, 0.197], [0.500, 0.500, 0.803], [0.000, 0.500, 0.264], [0.000, 0.500, 0.736], [0.500, 0.000, 0.264], [0.500, 0.000, 0.736], [0.500, 0.500, 0.500]]}

=====

Record 2
{"formula": "Zr2Ta2O5", "functional": "PBE", "state": "optimized geometry", "magnetic_moment_mub_per_fu": 1.271, "e_above_lowest_polymorph_ev_per_atom": 0.402, "sg": "P4/mmm", "lattice": [[3.539, 0.000, 0.000], [0.000, 3.539, 0.000], [0.000, 0.000, 9.412]], "species": ["Zr", "Zr", "Ta", "Ta", "O", "O", "O", "O", "O"], "fractional_positions": [[0.000, 0.000, 0.235], [0.000, 0.000, 0.765], [0.500, 0.500, 0.000], [0.500, 0.500, 0.500], [0.000, 0.000, 0.500], [0.000, 0.500, 0.344], [0.000, 0.500, 0.656], [0.500, 0.000, 0.344], [0.500, 0.000, 0.656]]}

=====

Record 3
{"formula": "Zr2TaO4", "functional": "PBE", "state": "optimized geometry", "final_energy_ry_per_atom": -0.6731, "magnetic_moment_mub_per_fu": 0.001, "sg": "Fd-3m", "lattice": [[0.000, 4.538, 4.538], [4.538, 0.000, 4.538], [4.538, 4.538, 0.000]], "species": ["Zr", "Zr", "Zr", "Zr", "Ta", "Ta", "O", "O", "O", "O", "O", "O", "O", "O"], "fractional_positions": [[0.000, 0.000, 0.000], [0.000, 0.000, 0.500], [0.000, 0.500, 0.000], [0.500, 0.000, 0.000], [0.375, 0.375, 0.375], [0.625, 0.625, 0.625], [0.253, 0.253, 0.253], [0.253, 0.253, 0.741], [0.253, 0.741, 0.253], [0.259, 0.747, 0.747], [0.741, 0.253, 0.253], [0.747, 0.259, 0.747], [0.747, 0.747, 0.259], [0.747, 0.747, 0.747]]}

=====

Record 4
{"formula": "TbO2", "functional": "PBE", "state": "optimized geometry", "final_energy_ry_per_atom": -0.5559, "magnetic_moment_mub_per_fu": 1.000, "sg": "Fm-3m", "lattice": [[0.000, 2.703, 2.703], [2.703, 0.000, 2.703], [2.703, 2.703, 0.000]], "species": ["Tb", "O", "O"], "fractional_positions": [[0.000, 0.000, 0.000], [0.250, 0.250, 0.250], [0.750, 0.750, 0.750]]}

=====

Record 5
{"formula": "TbO2", "functional": "PBE", "state": "optimized geometry", "final_energy_ry_per_atom": -0.5170, "magnetic_moment_mub_per_fu": 1.000, "sg": "Fd-3m", "lattice": [[0.000, 4.888, 4.888], [4.888, 0.000, 4.888], [4.888, 4.888, 0.000]], "species": ["Tb", "Tb", "O", "O", "O", "O"], "fractional_positions": [[0.125, 0.125, 0.125], [0.875, 0.875, 0.875], [0.000, 0.000, 0.000], [0.000, 0.000, 0.500], [0.000, 0.500, 0.000], [0.500, 0.000, 0.000]]}

=====

Record 6
{"formula": "TbO2", "functional": "PBE", "state": "optimized geometry", "final_energy_ry_per_atom": -0.4025, "magnetic_moment_mub_per_fu": 1.097, "sg": "Fd-3m", "lattice": [[0.000, 3.246, 3.246], [3.246, 0.000, 3.246], [3.246, 3.246, 0.000]], "species": ["Tb", "Tb", "O", "O", "O", "O"], "fractional_positions": [[0.125, 0.125, 0.125], [0.875, 0.875, 0.875], [0.000, 0.500, 0.500], [0.500, 0.000, 0.500], [0.500, 0.500, 0.000], [0.500, 0.500, 0.500]]}

=====

Record 7
{"formula": "Tb2O", "functional": "PBE", "state": "optimized geometry", "magnetic_moment_mub_per_fu": 2.002, "e_above_lowest_polymorph_ev_per_atom": 0.000, "sg": "Fd-3m", "lattice": [[0.000, 5.135, 5.135], [5.135, 0.000, 5.135], [5.135, 5.135, 0.000]], "species": ["Tb", "Tb", "Tb", "Tb", "O", "O"], "fractional_positions": [[0.000, 0.000, 0.000], [0.000, 0.000, 0.500], [0.000, 0.500, 0.000], [0.500, 0.000, 0.000], [0.125, 0.125, 0.125], [0.875, 0.875, 0.875]]}

=====

Record 8
{"formula": "TbO2", "functional": "PBE", "state": "optimized geometry", "final_energy_ry_per_atom": -0.5561, "magnetic_moment_mub_per_fu": 1.000, "sg": "Fm-3m", "lattice": [[0.000, 2.707, 2.707], [2.707, 0.000, 2.707], [2.707, 2.707, 0.000]], "species": ["Tb", "O", "O"], "fractional_positions": [[0.000, 0.000, 0.000], [0.250, 0.250, 0.250], [0.750, 0.750, 0.750]]}

=====

Record 9
{"formula": "Tb4O5", "functional": "PBE", "state": "optimized geometry", "final_energy_ry_per_atom": -0.5654, "magnetic_moment_mub_per_fu": 1.367, "sg": "P4/mmm", "lattice": [[3.877, 0.000, 0.000], [0.000, 3.877, 0.000], [0.000, 0.000, 9.730]], "species": ["Tb", "Tb", "Tb", "Tb", "O", "O", "O", "O", "O"], "fractional_positions": [[0.000, 0.000, 0.000], [0.000, 0.000, 0.500], [0.500, 0.500, 0.241], [0.500, 0.500, 0.759], [0.000, 0.500, 0.142], [0.000, 0.500, 0.858], [0.500, 0.000, 0.142], [0.500, 0.000, 0.858], [0.500, 0.500, 0.500]]}

=====

Record 10
{"formula": "TbTc2O4", "functional": "PBE", "state": "optimized geometry", "final_energy_ry_per_atom": -0.5851, "magnetic_moment_mub_per_fu": 3.000, "sg": "Fd-3m", "lattice": [[0.000, 4.486, 4.486], [4.486, 0.000, 4.486], [4.486, 4.486, 0.000]], "species": ["Tb", "Tb", "Tc", "Tc", "Tc", "Tc", "O", "O", "O", "O", "O", "O", "O", "O"], "fractional_positions": [[0.125, 0.125, 0.125], [0.875, 0.875, 0.875], [0.000, 0.500, 0.500], [0.500, 0.000, 0.500], [0.500, 0.500, 0.000], [0.500, 0.500, 0.500], [0.263, 0.263, 0.263], [0.263, 0.263, 0.711], [0.263, 0.711, 0.263], [0.289, 0.737, 0.737], [0.711, 0.263, 0.263], [0.737, 0.289, 0.737], [0.737, 0.737, 0.289], [0.737, 0.737, 0.737]]}

=====

Record 11
{"formula": "Tb6TeO12", "functional": "PBE", "state": "optimized geometry", "final_energy_ry_per_atom": -0.5789, "magnetic_moment_mub_per_fu": 0.001, "sg": "R-3", "lattice": [[4.915, 2.838, 3.125], [-4.915, 2.838, 3.125], [0.000, -5.675, 3.125]], "species": ["Tb", "Tb", "Tb", "Tb", "Tb", "Tb", "Te", "O", "O", "O", "O", "O", "O", "O", "O", "O", "O", "O", "O"], "fractional_positions": [[0.110, 0.814, 0.645], [0.186, 0.355, 0.890], [0.355, 0.890, 0.186], [0.645, 0.110, 0.814], [0.814, 0.645, 0.110], [0.890, 0.186, 0.355], [0.500, 0.500, 0.500], [0.066, 0.908, 0.323], [0.092, 0.677, 0.934], [0.203, 0.429, 0.534], [0.323, 0.066, 0.908], [0.429, 0.534, 0.203], [0.466, 0.797, 0.571], [0.534, 0.203, 0.429], [0.571, 0.466, 0.797], [0.677, 0.934, 0.092], [0.797, 0.571, 0.466], [0.908, 0.323, 0.066], [0.934, 0.092, 0.677]]}

=====

Record 12
{"formula": "Tb2Te4O11", "functional": "PBE", "state": "optimized geometry", "final_energy_ry_per_atom": -0.4654, "magnetic_moment_mub_per_fu": 0.001, "sg": "C2/c", "lattice": [[6.184, -2.555, 0.000], [6.184, 2.555, 0.000], [-4.533, 0.000, 15.302]], "species": ["Tb", "Tb", "Tb", "Tb", "Te", "Te", "Te", "Te", "Te", "Te", "Te", "Te", "O", "O", "O", "O", "O", "O", "O", "O", "O", "O", "O", "O", "O", "O", "O", "O", "O", "O", "O", "O", "O", "O"], "fractional_positions": [[0.127, 0.635, 0.963], [0.365, 0.873, 0.537], [0.635, 0.127, 0.463], [0.873, 0.365, 0.037], [0.093, 0.660, 0.630], [0.098, 0.650, 0.297], [0.340, 0.907, 0.870], [0.350, 0.902, 0.203], [0.650, 0.098, 0.797], [0.660, 0.093, 0.130], [0.902, 0.350, 0.703], [0.907, 0.340, 0.370], [0.057, 0.894, 0.402], [0.106, 0.943, 0.098], [0.162, 0.253, 0.945], [0.186, 0.313, 0.631], [0.253, 0.162, 0.445], [0.284, 0.411, 0.829], [0.313, 0.186, 0.131], [0.321, 0.542, 0.546], [0.364, 0.636, 0.250], [0.411, 0.284, 0.329], [0.458, 0.679, 0.954], [0.542, 0.321, 0.046], [0.589, 0.716, 0.671], [0.636, 0.364, 0.750], [0.679, 0.458, 0.454], [0.687, 0.814, 0.869], [0.716, 0.589, 0.171], [0.747, 0.838, 0.555], [0.814, 0.687, 0.369], [0.838, 0.747, 0.055], [0.894, 0.057, 0.902], [0.943, 0.106, 0.598]]}